Entry 1:
The following is a DFT calculation (meta-GGA SCAN) of a crystal of Ca2TlZn2 relaxed with PBEsol.

The value obtained for the density of states at the Fermi level is 2.37 states/eV/f.u. As for the raw total energy: -23.903 eV per atom. For the spin magnetization, the calculation gives 0.0 Bohr magnetons per cell.

The space group is I4/mmm (No. 139) and the conventional cell measures 5.750, 5.750 and 7.913 Å, with angles of 90.00, 90.00 and 90.00 degrees. The asymmetric unit holds Ca at (0.000, 0.500, 0.250), Tl at (0.000, 0.000, 0.000) and Zn at (0.000, 0.000, 0.354).


Entry 2:
The following is a DFT calculation (meta-GGA SCAN) of a crystal of Ca2TlZn2 relaxed with PBEsol.

The value obtained for the density of states at the Fermi level is 2.69 states/eV/f.u. As for the raw total energy: -24.092 eV per atom. For the spin magnetization, the calculation gives 0.0 Bohr magnetons per cell.

The space group is P4/mbm (No. 127) and the conventional cell measures 7.654, 7.654 and 4.060 Å, with angles of 90.00, 90.00 and 90.00 degrees. The asymmetric unit holds Ca at (0.179, 0.321, 0.000), Tl at (0.000, 0.000, 0.500) and Zn at (0.116, 0.616, 0.500).


Entry 3:
The following is a DFT calculation (meta-GGA SCAN) of a crystal of CaTl2Zn2 relaxed with PBEsol.

The value obtained for the density of states at the Fermi level is 1.86 states/eV/f.u. As for the raw total energy: -36.465 eV per atom. For the spin magnetization, the calculation gives 0.0 Bohr magnetons per cell.

The space group is I4/mmm (No. 139) and the conventional cell measures 4.334, 4.334 and 12.279 Å, with angles of 90.00, 90.00 and 90.00 degrees. The asymmetric unit holds Ca at (0.000, 0.000, 0.000), Tl at (0.000, 0.000, 0.382) and Zn at (0.000, 0.500, 0.250).


Entry 4:
The following is a DFT calculation (meta-GGA SCAN) of a crystal of CaTl2Zn2 relaxed with PBEsol.

The value obtained for the density of states at the Fermi level is 1.81 states/eV/f.u. As for the raw total energy: -36.480 eV per atom. For the spin magnetization, the calculation gives 0.0 Bohr magnetons per cell.

The space group is I4/mmm (No. 139) and the conventional cell measures 4.495, 4.495 and 11.469 Å, with angles of 90.00, 90.00 and 90.00 degrees. The asymmetric unit holds Ca at (0.000, 0.000, 0.000), Tl at (0.000, 0.500, 0.250) and Zn at (0.000, 0.000, 0.397).


Entry 5:
The following is a DFT calculation (meta-GGA SCAN) of a crystal of Ca2ZrTl relaxed with PBEsol.

The value obtained for the density of states at the Fermi level is 3.22 states/eV/f.u. As for the raw total energy: -30.533 eV per atom. For the spin magnetization, the calculation gives 1.7 Bohr magnetons per cell.

The space group is Cmmm (No. 65) and the conventional cell measures 6.473, 10.135 and 3.331 Å, with angles of 90.00, 90.00 and 90.00 degrees. The asymmetric unit holds Ca at (0.250, 0.250, 0.000), Zr at (0.000, 0.000, 0.500) and Tl at (0.000, 0.500, 0.500).


Entry 6:
The following is a DFT calculation (meta-GGA SCAN) of a crystal of Ca2ZrTl relaxed with PBEsol.

The value obtained for the density of states at the Fermi level is 2.58 states/eV/f.u. As for the raw total energy: -30.515 eV per atom. For the spin magnetization, the calculation gives 2.9 Bohr magnetons per cell.

The space group is P4/mmm (No. 123) and the conventional cell measures 5.453, 5.453 and 3.735 Å, with angles of 90.00, 90.00 and 90.00 degrees. The asymmetric unit holds Ca at (0.000, 0.500, 0.000), Zr at (0.000, 0.000, 0.500) and Tl at (0.500, 0.500, 0.500).


Entry 7:
The following is a DFT calculation (meta-GGA SCAN) of a crystal of CaZr2Tl2 relaxed with PBEsol.

The value obtained for the density of states at the Fermi level is 5.80 states/eV/f.u. As for the raw total energy: -43.292 eV per atom. For the spin magnetization, the calculation gives 0.0 Bohr magnetons per cell.

The space group is I4/mmm (No. 139) and the conventional cell measures 4.254, 4.254 and 14.102 Å, with angles of 90.00, 90.00 and 90.00 degrees. The asymmetric unit holds Ca at (0.000, 0.000, 0.000), Zr at (0.000, 0.500, 0.250) and Tl at (0.000, 0.000, 0.399).


Entry 8:
The following is a DFT calculation (meta-GGA SCAN) of a crystal of CaZrTl2 relaxed with PBEsol.

The value obtained for the density of states at the Fermi level is 2.09 states/eV/f.u. As for the raw total energy: -46.632 eV per atom. For the spin magnetization, the calculation gives 0.0 Bohr magnetons per cell.

The space group is Pmmm (No. 47) and the conventional cell measures 3.308, 4.176 and 6.975 Å, with angles of 90.00, 90.00 and 90.00 degrees. The asymmetric unit holds Ca at (0.000, 0.000, 0.000), Zr at (0.000, 0.000, 0.500) and Tl at (0.500, 0.500, 0.267).